[1]
{"formula": "YMgP2S", "functional": "GGA-PBE", "state": "optimized geometry", "formation_energy_uncorrected_ev_per_atom": -0.1401, "polymorph_energy_kcal_per_mol_atoms": 0.00, "lattice": [[-2.400, 3.705, -1.696], [1.492, -1.033, -4.367], [-3.850, -2.793, -0.654]], "species": ["P", "P", "S", "Mg", "Y"], "frac_coords": [[0.500, 0.000, 0.000], [0.000, 0.500, 0.000], [0.000, 0.000, 0.500], [0.000, 0.000, 0.000], [0.500, 0.500, 0.500]]}

***

[2]
{"formula": "MgZnPS2", "functional": "GGA-PBE", "state": "optimized geometry", "formation_energy_uncorrected_ev_per_atom": 0.5778, "polymorph_energy_kcal_per_mol_atoms": 7.26, "lattice": [[-1.533, -3.078, 3.265], [4.219, 0.186, 2.156], [-1.584, 3.733, 2.776]], "species": ["P", "Mg", "S", "S", "Zn"], "frac_coords": [[0.000, 0.000, 0.500], [0.000, 0.000, 0.000], [0.000, 0.500, 0.000], [0.500, 0.000, 0.000], [0.500, 0.500, 0.500]]}

***

[3]
{"formula": "MgZnPS2", "functional": "GGA-PBE", "state": "optimized geometry", "formation_energy_uncorrected_ev_per_atom": 0.3595, "polymorph_energy_kcal_per_mol_atoms": 2.23, "lattice": [[-2.238, 0.536, 4.268], [-4.298, -0.088, -2.243], [-0.156, -4.398, 0.471]], "species": ["Zn", "S", "S", "P", "Mg"], "frac_coords": [[0.000, 0.000, 0.000], [0.000, 0.500, 0.000], [0.500, 0.000, 0.000], [0.000, 0.000, 0.500], [0.500, 0.500, 0.500]]}

***

[4]
{"formula": "MgZnPS2", "functional": "GGA-PBE", "state": "optimized geometry", "formation_energy_uncorrected_ev_per_atom": 0.2629, "polymorph_energy_kcal_per_mol_atoms": 0.00, "lattice": [[4.718, 0.000, 0.000], [0.000, 4.760, 0.000], [0.000, 0.000, 4.718]], "species": ["S", "S", "Mg", "P", "Zn"], "frac_coords": [[0.500, 0.000, 0.000], [0.000, 0.000, 0.500], [0.000, 0.500, 0.000], [0.000, 0.000, 0.000], [0.500, 0.500, 0.500]]}

***

[5]
{"formula": "MgSbP2", "functional": "GGA-PBE", "state": "optimized geometry", "formation_energy_uncorrected_ev_per_atom": -0.0409, "polymorph_energy_kcal_per_mol_atoms": 1.94, "lattice": [[6.149, -0.099, -0.609], [5.001, 3.580, -0.609], [-0.897, -0.280, 3.811]], "species": ["Sb", "P", "P", "Mg"], "frac_coords": [[0.487, 0.487, 0.478], [0.234, 0.234, 0.217], [0.015, 0.015, 0.054], [0.764, 0.764, 0.750]]}

***

[6]
{"formula": "MgSbP2", "functional": "GGA-PBE", "state": "optimized geometry", "formation_energy_uncorrected_ev_per_atom": -0.1250, "polymorph_energy_kcal_per_mol_atoms": 0.00, "lattice": [[3.667, 0.000, 0.000], [0.000, 3.841, 0.000], [0.000, 0.000, 6.185]], "species": ["P", "P", "Sb", "Mg"], "frac_coords": [[0.500, 0.500, 0.421], [0.000, 0.000, 0.913], [0.000, 0.000, 0.316], [0.500, 0.500, 0.851]]}

***

[7]
{"formula": "MgSbP4", "functional": "GGA-PBE", "state": "optimized geometry", "formation_energy_uncorrected_ev_per_atom": 0.4385, "lattice": [[2.697, 3.420, 3.500], [-1.719, 0.503, 5.293], [3.084, -2.116, 4.152]], "species": ["P", "P", "P", "P", "Sb", "Mg"], "frac_coords": [[0.941, 0.353, 0.353], [0.353, 0.353, 0.353], [0.353, 0.353, 0.941], [0.353, 0.941, 0.353], [0.750, 0.750, 0.750], [0.000, 0.000, 0.000]]}

***

[8]
{"formula": "MgSb4P", "functional": "GGA-PBE", "state": "optimized geometry", "formation_energy_uncorrected_ev_per_atom": 0.5365, "lattice": [[0.000, 4.349, 4.349], [4.349, 0.000, 4.349], [4.349, 4.349, 0.000]], "species": ["P", "Sb", "Sb", "Sb", "Sb", "Mg"], "frac_coords": [[0.000, 0.000, 0.000], [0.375, 0.876, 0.375], [0.876, 0.375, 0.375], [0.375, 0.375, 0.375], [0.375, 0.375, 0.876], [0.750, 0.750, 0.750]]}

***

[9]
{"formula": "Mg3SbP", "functional": "GGA-PBE", "state": "optimized geometry", "formation_energy_uncorrected_ev_per_atom": -0.3470, "polymorph_energy_kcal_per_mol_atoms": 0.00, "lattice": [[-4.389, -1.663, 1.348], [-0.684, -1.823, -4.478], [2.028, -4.214, 1.406]], "species": ["Sb", "Mg", "Mg", "Mg", "P"], "frac_coords": [[0.500, 0.500, 0.500], [0.000, 0.500, 0.000], [0.500, 0.000, 0.000], [0.000, 0.000, 0.500], [0.000, 0.000, 0.000]]}

***

[10]
{"formula": "MgSbP2", "functional": "GGA-PBE", "state": "optimized geometry", "formation_energy_uncorrected_ev_per_atom": 0.0484, "polymorph_energy_kcal_per_mol_atoms": 4.00, "lattice": [[7.335, 0.025, 0.015], [6.414, 3.558, 0.015], [6.414, 1.672, 3.141]], "species": ["Sb", "P", "P", "Mg"], "frac_coords": [[0.511, 0.511, 0.511], [0.261, 0.261, 0.261], [0.991, 0.991, 0.991], [0.737, 0.737, 0.737]]}

***

[11]
{"formula": "Mg2SbP", "functional": "GGA-PBE", "state": "optimized geometry", "formation_energy_uncorrected_ev_per_atom": -0.1799, "polymorph_energy_kcal_per_mol_atoms": 3.46, "lattice": [[-3.193, -1.921, -0.280], [2.165, -3.428, -1.165], [1.500, -3.203, 4.871]], "species": ["Sb", "P", "Mg", "Mg"], "frac_coords": [[0.500, 0.750, 0.750], [0.500, 0.250, 0.250], [0.000, 0.086, 0.017], [0.000, 0.414, 0.483]]}

***

[12]
{"formula": "Mg2SbP", "functional": "GGA-PBE", "state": "optimized geometry", "formation_energy_uncorrected_ev_per_atom": -0.2521, "polymorph_energy_kcal_per_mol_atoms": 1.79, "lattice": [[-6.963, 1.138, 3.826], [-7.323, -3.025, 1.284], [8.012, -0.029, -0.486]], "species": ["Mg", "Mg", "P", "Sb"], "frac_coords": [[0.026, 0.026, 0.000], [0.322, 0.822, 0.500], [0.457, 0.457, 0.000], [0.695, 0.195, 0.500]]}

***

[13]
{"formula": "MgSbP", "functional": "GGA-PBE", "state": "optimized geometry", "formation_energy_uncorrected_ev_per_atom": -0.1260, "polymorph_energy_kcal_per_mol_atoms": 0.57, "lattice": [[-4.944, 2.473, -3.111], [-5.322, -2.591, -2.280], [3.951, 0.514, 4.935]], "species": ["P", "Mg", "Sb"], "frac_coords": [[0.428, 0.428, 0.000], [0.930, 0.930, 0.000], [0.641, 0.641, 0.000]]}

***

[14]
{"formula": "Mg2SbP", "functional": "GGA-PBE", "state": "optimized geometry", "formation_energy_uncorrected_ev_per_atom": -0.2398, "polymorph_energy_kcal_per_mol_atoms": 2.08, "lattice": [[6.207, 0.279, -0.183], [4.804, 3.940, -0.183], [1.410, 0.540, 3.800]], "species": ["Mg", "Mg", "Sb", "P"], "frac_coords": [[0.998, 0.998, 0.144], [0.713, 0.713, 0.660], [0.287, 0.287, 0.082], [0.501, 0.501, 0.614]]}

***

[15]
{"formula": "Mg2SbP", "functional": "GGA-PBE", "state": "optimized geometry", "formation_energy_uncorrected_ev_per_atom": -0.0675, "polymorph_energy_kcal_per_mol_atoms": 6.05, "lattice": [[-0.403, 1.395, 4.008], [-2.929, -3.890, 1.060], [3.198, -2.119, 1.059]], "species": ["Mg", "Mg", "P", "Sb"], "frac_coords": [[0.500, 0.500, 0.000], [0.000, 0.000, 0.000], [0.500, 0.000, 0.500], [0.000, 0.500, 0.500]]}

***

[16]
{"formula": "Mg2SbP", "functional": "GGA-PBE", "state": "optimized geometry", "formation_energy_uncorrected_ev_per_atom": -0.0374, "polymorph_energy_kcal_per_mol_atoms": 6.74, "lattice": [[4.890, -0.489, 0.138], [2.210, -1.439, 4.149], [2.015, -4.475, 0.287]], "species": ["Sb", "Mg", "Mg", "P"], "frac_coords": [[0.500, 0.500, 0.500], [0.750, 0.750, 0.750], [0.250, 0.250, 0.250], [0.000, 0.000, 0.000]]}

***

[17]
{"formula": "Mg2SbP", "functional": "GGA-PBE", "state": "optimized geometry", "formation_energy_uncorrected_ev_per_atom": -0.2243, "polymorph_energy_kcal_per_mol_atoms": 2.43, "lattice": [[7.621, 0.000, 0.000], [0.000, 7.621, 0.000], [3.811, 3.811, 3.040]], "species": ["P", "P", "Sb", "Sb", "Mg", "Mg", "Mg", "Mg"], "frac_coords": [[0.500, 0.500, 0.000], [0.250, 0.750, 0.500], [0.750, 0.250, 0.500], [0.000, 0.000, 0.000], [0.573, 0.125, 0.250], [0.875, 0.823, 0.750], [0.375, 0.427, 0.750], [0.177, 0.625, 0.250]]}

***

[18]
{"formula": "Mg2SbP", "functional": "GGA-PBE", "state": "optimized geometry", "formation_energy_uncorrected_ev_per_atom": -0.0968, "polymorph_energy_kcal_per_mol_atoms": 5.37, "lattice": [[4.793, -0.039, 0.000], [-1.100, 4.665, 0.000], [0.000, 0.000, 3.768]], "species": ["P", "Mg", "Mg", "Sb"], "frac_coords": [[0.500, 0.000, 0.500], [0.000, 0.000, 0.000], [0.500, 0.500, 0.000], [0.000, 0.500, 0.500]]}

***

[19]
{"formula": "MgSbP2", "functional": "GGA-PBE", "state": "optimized geometry", "formation_energy_uncorrected_ev_per_atom": -0.0248, "polymorph_energy_kcal_per_mol_atoms": 2.31, "lattice": [[5.920, 0.000, 0.000], [0.000, 5.920, 0.000], [2.960, 2.960, 6.163]], "species": ["P", "P", "P", "P", "Sb", "Sb", "Mg", "Mg"], "frac_coords": [[0.133, 0.625, 0.250], [0.875, 0.867, 0.750], [0.375, 0.383, 0.750], [0.617, 0.125, 0.250], [0.000, 0.000, 0.000], [0.750, 0.250, 0.500], [0.250, 0.750, 0.500], [0.500, 0.500, 0.000]]}

***

[20]
{"formula": "Mg2SbP", "functional": "GGA-PBE", "state": "optimized geometry", "formation_energy_uncorrected_ev_per_atom": -0.3299, "polymorph_energy_kcal_per_mol_atoms": 0.00, "lattice": [[3.666, -0.040, -0.004], [1.793, 3.198, -0.004], [1.846, 1.068, 7.594]], "species": ["P", "Mg", "Mg", "Sb"], "frac_coords": [[0.750, 0.750, 0.750], [0.024, 0.024, 0.938], [0.476, 0.476, 0.562], [0.250, 0.250, 0.250]]}

***

[21]
{"formula": "Mg2SbP", "functional": "GGA-PBE", "state": "optimized geometry", "formation_energy_uncorrected_ev_per_atom": -0.1763, "polymorph_energy_kcal_per_mol_atoms": 3.54, "lattice": [[-2.931, 1.100, 1.161], [-0.285, -3.215, 0.854], [3.269, 1.520, 6.812]], "species": ["Mg", "Mg", "P", "Sb"], "frac_coords": [[0.000, 0.000, 0.449], [0.000, 0.000, 0.051], [0.500, 0.500, 0.250], [0.500, 0.500, 0.750]]}

***

[22]
{"formula": "MgSbP", "functional": "GGA-PBE", "state": "optimized geometry", "formation_energy_uncorrected_ev_per_atom": -0.0410, "polymorph_energy_kcal_per_mol_atoms": 2.53, "lattice": [[-1.645, 3.131, 1.263], [-2.082, -3.018, -0.814], [0.570, -1.790, 5.178]], "species": ["P", "Sb", "Mg"], "frac_coords": [[0.667, 0.333, 0.326], [0.333, 0.667, 0.630], [0.000, 0.000, 0.043]]}

***

[23]
{"formula": "MgSbP2", "functional": "GGA-PBE", "state": "optimized geometry", "formation_energy_uncorrected_ev_per_atom": 0.1922, "polymorph_energy_kcal_per_mol_atoms": 7.31, "lattice": [[-1.317, -0.860, 2.993], [2.829, -3.820, 0.147], [3.344, 2.561, 2.208]], "species": ["Mg", "P", "P", "Sb"], "frac_coords": [[0.500, 0.000, 0.500], [0.000, 0.000, 0.000], [0.000, 0.500, 0.500], [0.500, 0.500, 0.000]]}

***

[24]
{"formula": "MgSbP2", "functional": "GGA-PBE", "state": "optimized geometry", "formation_energy_uncorrected_ev_per_atom": 0.3129, "polymorph_energy_kcal_per_mol_atoms": 10.10, "lattice": [[-3.564, 2.945, 7.865], [-1.630, 0.669, 8.952], [-0.493, 3.581, 8.377]], "species": ["P", "P", "Mg", "Sb"], "frac_coords": [[0.490, 0.490, 0.490], [0.010, 0.010, 0.010], [0.750, 0.750, 0.750], [0.250, 0.250, 0.250]]}

***

[25]
{"formula": "MgSbP2", "functional": "GGA-PBE", "state": "optimized geometry", "formation_energy_uncorrected_ev_per_atom": 0.4189, "polymorph_energy_kcal_per_mol_atoms": 12.54, "lattice": [[4.800, 0.000, 0.000], [2.400, 4.157, 0.000], [2.400, 1.386, 3.919]], "species": ["P", "P", "Mg", "Sb"], "frac_coords": [[0.000, 0.000, 0.000], [0.250, 0.250, 0.250], [0.500, 0.500, 0.500], [0.750, 0.750, 0.750]]}

***

[26]
{"formula": "MgSbP2", "functional": "GGA-PBE", "state": "optimized geometry", "formation_energy_uncorrected_ev_per_atom": 0.0959, "polymorph_energy_kcal_per_mol_atoms": 5.09, "lattice": [[5.677, -0.121, 0.037], [2.795, 4.943, -0.037], [-3.763, -3.242, 2.753]], "species": ["P", "P", "Mg", "Sb"], "frac_coords": [[0.052, 0.052, 0.000], [0.222, 0.722, 0.500], [0.757, 0.257, 0.500], [0.469, 0.469, 0.000]]}

***

[27]
{"formula": "MgSbP", "functional": "GGA-PBE", "state": "optimized geometry", "formation_energy_uncorrected_ev_per_atom": 0.2178, "polymorph_energy_kcal_per_mol_atoms": 8.49, "lattice": [[3.143, 0.000, 0.000], [-1.571, 2.722, 0.000], [0.000, 0.000, 8.124]], "species": ["P", "Sb", "Mg"], "frac_coords": [[0.667, 0.333, 0.265], [0.333, 0.667, 0.711], [0.000, 0.000, 0.023]]}

***

[28]
{"formula": "MgSbP2", "functional": "GGA-PBE", "state": "optimized geometry", "formation_energy_uncorrected_ev_per_atom": 0.2309, "polymorph_energy_kcal_per_mol_atoms": 8.21, "lattice": [[0.297, -4.749, 0.570], [0.550, -1.857, 4.383], [-3.605, -2.396, 2.056]], "species": ["P", "P", "Sb", "Mg"], "frac_coords": [[0.750, 0.750, 0.750], [0.250, 0.250, 0.250], [0.500, 0.500, 0.500], [0.000, 0.000, 0.000]]}

***

[29]
{"formula": "MgSbP2", "functional": "GGA-PBE", "state": "optimized geometry", "formation_energy_uncorrected_ev_per_atom": 0.0885, "polymorph_energy_kcal_per_mol_atoms": 4.92, "lattice": [[4.790, 0.028, -0.086], [-1.390, 4.584, -0.086], [1.574, 2.135, 3.715]], "species": ["P", "P", "Sb", "Mg"], "frac_coords": [[0.000, 0.000, 0.000], [0.500, 0.500, 0.000], [0.500, 0.000, 0.500], [0.000, 0.500, 0.500]]}

***

[30]
{"formula": "MgSbP", "functional": "GGA-PBE", "state": "optimized geometry", "formation_energy_uncorrected_ev_per_atom": 0.1506, "polymorph_energy_kcal_per_mol_atoms": 6.95, "lattice": [[-1.427, 4.398, 0.753], [-3.997, 0.803, 2.307], [0.112, 1.790, 4.327]], "species": ["Sb", "P", "Mg"], "frac_coords": [[0.000, 0.000, 0.000], [0.750, 0.750, 0.750], [0.500, 0.500, 0.500]]}